Entry 1:
VASP calculation (GGA-PBE) on an optimized crystal structure of Ho4ThTl2.

Computed properties:
Energy relative to the lowest polymorph listed for this composition ... 196 meV per atom
Calculated density ... 9.3 Mg/m³
Energy of formation from the pure elements ... 0.16 eV/atom
Symmetry ... R-3m
Density of states at the Fermi level ... 8.101 states/eV/f.u.

Cell lengths 10.4048, 10.4048, 10.4048 Å; angles 28.85, 28.85, 28.85 degrees
Last column: nearest neighbours and their distance in Å.
Fractional coordinates of all 7 atoms:
Ho  0.1158  0.1158  0.1158  3 Th 3.36, 3 Tl 3.40, 3 Ho 3.69
Ho  0.2898  0.2898  0.2898  4 Tl 3.04-3.15
Ho  0.7102  0.7102  0.7102  4 Tl 3.04-3.15
Ho  0.8842  0.8842  0.8842  3 Th 3.36, 3 Tl 3.40, 3 Ho 3.69
Th  0.5000  0.5000  0.5000  2 Tl 3.13, 6 Ho 3.36
Tl  0.3953  0.3953  0.3953  7 Ho 3.04-3.40, 1 Th 3.13
Tl  0.6047  0.6047  0.6047  7 Ho 3.04-3.40, 1 Th 3.13

Entry 2:
VASP calculation (GGA-PBE) on an optimized crystal structure of Ho9Er11Tm4.

Computed properties:
Calculated density ... 9.0 Mg/m³
Energy of formation from the pure elements ... 0.05 eV/atom
Symmetry ... Cmmm
Density of states at the Fermi level ... 29.599 states/eV/f.u.

Cell lengths 14.8927, 14.8927, 3.6089 Å; angles 90.00, 90.00, 112.91 degrees
Last column: nearest neighbours and their distance in Å.
Fractional coordinates of all 24 atoms:
Ho  0.0000  0.0000  0.0000  4 Tm 3.58, 2 Ho 3.61, 8 Er 3.75-3.86
Ho  0.1314  0.6642  0.0000  3 Ho 3.36-3.61, 1 Tm 3.40, 8 Er 3.45-3.62
Ho  0.2854  0.4304  0.0000  1 Tm 3.42, 8 Er 3.46-3.66, 3 Ho 3.60-3.61
Ho  0.3358  0.8686  0.0000  3 Ho 3.36-3.61, 1 Tm 3.40, 8 Er 3.45-3.62
Ho  0.4304  0.2854  0.0000  1 Tm 3.42, 8 Er 3.46-3.66, 3 Ho 3.60-3.61
Ho  0.5696  0.7146  0.0000  1 Tm 3.42, 8 Er 3.46-3.66, 3 Ho 3.60-3.61
Ho  0.6642  0.1314  0.0000  3 Ho 3.36-3.61, 1 Tm 3.40, 8 Er 3.45-3.62
Ho  0.7146  0.5696  0.0000  1 Tm 3.42, 8 Er 3.46-3.66, 3 Ho 3.60-3.61
Ho  0.8686  0.3358  0.0000  3 Ho 3.36-3.61, 1 Tm 3.40, 8 Er 3.45-3.62
Er  0.0930  0.4551  0.5000  2 Tm 3.32, 6 Ho 3.45-3.60, 3 Er 3.51-3.61
Er  0.1326  0.8674  0.5000  4 Tm 3.22, 4 Ho 3.52
Er  0.2072  0.2072  0.5000  4 Tm 3.21, 4 Ho 3.56
Er  0.3406  0.6594  0.5000  5 Er 3.61-3.96, 8 Ho 3.62-3.66
Er  0.4551  0.0930  0.5000  2 Tm 3.32, 6 Ho 3.45-3.60, 3 Er 3.51-3.61
Er  0.5000  0.5000  0.5000  8 Ho 3.46, 2 Er 3.61
Er  0.5449  0.9070  0.5000  2 Tm 3.32, 6 Ho 3.45-3.60, 3 Er 3.51-3.61
Er  0.6594  0.3406  0.5000  5 Er 3.61-3.96, 8 Ho 3.62-3.66
Er  0.7928  0.7928  0.5000  4 Tm 3.21, 4 Ho 3.56
Er  0.8674  0.1326  0.5000  4 Tm 3.22, 4 Ho 3.52
Er  0.9070  0.5449  0.5000  2 Tm 3.32, 6 Ho 3.45-3.60, 3 Er 3.51-3.61
Tm  0.0538  0.2561  0.0000  6 Er 3.21-3.32, 3 Ho 3.40-3.58
Tm  0.2561  0.0538  0.0000  6 Er 3.21-3.32, 3 Ho 3.40-3.58
Tm  0.7439  0.9462  0.0000  6 Er 3.21-3.32, 3 Ho 3.40-3.58
Tm  0.9462  0.7439  0.0000  6 Er 3.21-3.32, 3 Ho 3.40-3.58

Entry 3:
VASP calculation (GGA-PBE) on an optimized crystal structure of Ca3Cd9Pd2.

Computed properties:
Calculated density ... 6.8 Mg/m³
Energy of formation from the pure elements ... -0.34 eV/atom
Symmetry ... Immm
Density of states at the Fermi level ... 7.741 states/eV/f.u.

Cell lengths 8.6626, 8.6626, 8.6626 Å; angles 147.62, 103.48, 85.55 degrees
Last column: nearest neighbours and their distance in Å.
Fractional coordinates of all 14 atoms:
Ca  0.0000  0.0000  0.0000  12 Cd 3.33-3.42
Ca  0.2997  0.2997  0.0000  2 Pd 3.01
Ca  0.7003  0.7003  0.0000  2 Pd 3.01
Cd  0.0030  0.6388  0.3641  4 Cd 2.86-3.08, 1 Pd 2.91
Cd  0.1481  0.8697  0.2784  4 Cd 2.86-3.08, 2 Pd 3.03
Cd  0.2747  0.6388  0.6359  4 Cd 2.86-3.08, 1 Pd 2.91
Cd  0.4088  0.1303  0.2784  4 Cd 2.86-3.08, 2 Pd 3.03
Cd  0.5000  0.0000  0.5000  4 Pd 2.90, 4 Cd 2.90
Cd  0.5912  0.8697  0.7216  4 Cd 2.86-3.08, 2 Pd 3.03
Cd  0.7253  0.3612  0.3641  4 Cd 2.86-3.08, 1 Pd 2.91
Cd  0.8519  0.1303  0.7216  4 Cd 2.86-3.08, 2 Pd 3.03
Cd  0.9970  0.3612  0.6359  4 Cd 2.86-3.08, 1 Pd 2.91
Pd  0.3511  0.5000  0.8511  8 Cd 2.90-3.03, 2 Ca 3.01, 1 Pd 3.20
Pd  0.6489  0.5000  0.1489  8 Cd 2.90-3.03, 2 Ca 3.01, 1 Pd 3.20

Entry 4:
VASP calculation (GGA-PBE) on an optimized crystal structure of Be4CoIr.

Computed properties:
Calculated density ... 8.8 Mg/m³
Energy of formation from the pure elements ... -0.40 eV/atom
Symmetry ... F-43m
Density of states at the Fermi level ... 2.682 states/eV/f.u.

Cell lengths 4.2476, 4.2476, 4.2476 Å; angles 60.00, 60.00, 60.00 degrees
Last column: nearest neighbours and their distance in Å.
Fractional coordinates of all 6 atoms:
Be  0.1253  0.1253  0.1253  6 Be 2.12-2.13
Be  0.1253  0.1253  0.6240  6 Be 2.12-2.13
Be  0.1253  0.6240  0.1253  6 Be 2.12-2.13
Be  0.6240  0.1253  0.1253  6 Be 2.12-2.13
Co  0.5000  0.5000  0.5000  12 Be 2.49, 4 Ir 2.60
Ir  0.7500  0.7500  0.7500  12 Be 2.49, 4 Co 2.60

Entry 5:
VASP calculation (GGA-PBE) on an optimized crystal structure of Na3GePCO7.

Computed properties:
Energy relative to the lowest polymorph listed for this composition ... 0 meV per atom
Calculated density ... 2.8 Mg/m³
E_form (uncorrected) ... -1848 meV/atom
Symmetry ... P2_1
Density of states at the Fermi level ... 0.000 states/eV/f.u.

Cell lengths 5.4533, 6.9105, 9.4646 Å; angles 90.00, 96.53, 90.00 degrees
Last column: nearest neighbours and their distance in Å.
Fractional coordinates of all 26 atoms:
Na  0.0126  0.0000  0.0183  5 O 2.38-2.52
Na  0.4706  0.3123  0.1643  3 O 2.32-2.39
Na  0.4734  0.9626  0.4638  6 O 2.41-2.61
Na  0.5266  0.4626  0.5362  6 O 2.41-2.61
Na  0.5294  0.8123  0.8357  3 O 2.32-2.39
Na  0.9874  0.5000  0.9817  5 O 2.38-2.52
Ge  0.0588  0.2105  0.6629  3 O 1.92-2.04
Ge  0.9412  0.7105  0.3371  3 O 1.92-2.04
P  0.0133  0.6958  0.6645  4 O 1.52-1.59
P  0.9867  0.1958  0.3355  4 O 1.52-1.59
C  0.4601  0.2430  0.8679  3 O 1.27-1.34
C  0.5399  0.7430  0.1321  3 O 1.27-1.34
O  0.0454  0.9729  0.3139  1 P 1.59
O  0.0497  0.2979  0.2014  1 P 1.52
O  0.1750  0.2577  0.4684  1 P 1.59
O  0.2642  0.2465  0.9332  1 C 1.29
O  0.2806  0.7249  0.6302  1 P 1.54
O  0.3233  0.7377  0.0659  1 C 1.27
O  0.4263  0.2412  0.7254  1 C 1.34
O  0.5737  0.7412  0.2746  1 C 1.34
O  0.6767  0.2377  0.9341  1 C 1.27
O  0.7194  0.2249  0.3698  1 P 1.54
O  0.7358  0.7465  0.0668  1 C 1.29
O  0.8250  0.7577  0.5316  1 P 1.59
O  0.9503  0.7979  0.7986  1 P 1.52
O  0.9546  0.4729  0.6861  1 P 1.59

Entry 6:
VASP calculation (GGA-PBE) on an optimized crystal structure of Ca4Ga3Rh.

Computed properties:
Calculated density ... 3.8 Mg/m³
Energy of formation from the pure elements ... -0.49 eV/atom
Symmetry ... Pmm2
Density of states at the Fermi level ... 5.089 states/eV/f.u.

Cell lengths 4.2356, 4.3262, 11.1202 Å; angles 90.00, 90.00, 90.00 degrees
Last column: nearest neighbours and their distance in Å.
Fractional coordinates of all 8 atoms:
Ca  0.0000  0.0000  0.0000  2 Rh 2.99, 5 Ga 3.14-3.33
Ca  0.0000  0.5000  0.2755  3 Ga 3.07-3.21, 4 Rh 3.17
Ca  0.5000  0.0000  0.4778  6 Ga 3.18-3.26, 1 Rh 3.21
Ca  0.5000  0.5000  0.7787  7 Ga 3.15-3.30
Ga  0.0000  0.0000  0.7006  2 Ga 2.64
Ga  0.0000  0.5000  0.5639  2 Ga 2.64
Ga  0.5000  0.5000  0.0756  2 Rh 2.51
Rh  0.5000  0.0000  0.1895  2 Ga 2.51